This record from Alexandria via LeMat-Bulk describes BaTl2O4 after structural relaxation. The functional is PBE. Values from VASP.

```
&SYSTEM
  ibrav = 0, nat = 14, ntyp = 3
/
ATOMIC_SPECIES
Ba 137.33 Ba.upf
Tl 204.38 Tl.upf
O 16.00 O.upf
CELL_PARAMETERS angstrom
-3.560 3.560 5.081
3.560 -3.560 5.081
3.560 3.560 -5.081
ATOMIC_POSITIONS crystal
Ba 0.375 0.625 0.750
Ba 0.625 0.375 0.250
Tl 0.000 0.000 0.000
Tl 0.000 0.000 0.500
Tl 0.000 0.500 0.000
Tl 0.500 0.000 0.500
O 0.193 0.230 0.962
O 0.230 0.193 0.462
O 0.230 0.768 0.038
O 0.232 0.770 0.462
O 0.768 0.230 0.538
O 0.770 0.232 0.962
O 0.770 0.807 0.538
O 0.807 0.770 0.038
```

## Properties
Magnetic moment, μB/cell: 0.00
Excess energy over the best structure of this formula in the dataset, meV/atom: 24
VASP energy, eV/cell: -70.383

***

This record from Alexandria via LeMat-Bulk describes BaTl2O2 after structural relaxation. The functional is PBE. Values from VASP.

```
&SYSTEM
  ibrav = 0, nat = 10, ntyp = 3
/
ATOMIC_SPECIES
Ba 137.33 Ba.upf
Tl 204.38 Tl.upf
O 16.00 O.upf
CELL_PARAMETERS angstrom
8.242 0.000 0.000
0.000 8.242 0.000
0.000 0.000 3.597
ATOMIC_POSITIONS crystal
Ba 0.000 0.000 0.000
Ba 0.500 0.500 0.000
Tl 0.126 0.374 0.000
Tl 0.374 0.874 0.000
Tl 0.626 0.126 0.000
Tl 0.874 0.626 0.000
O 0.232 0.732 0.500
O 0.268 0.232 0.500
O 0.732 0.768 0.500
O 0.768 0.268 0.500
```

## Properties
Magnetic moment, μB/cell: 0.00
Excess energy over the best structure of this formula in the dataset, meV/atom: 828
VASP energy, eV/cell: -38.460